The following is a PBE calculation of a relaxed SrSnTeI2 crystal, from the Alexandria database.

* energy relative to the elements, uncorrected: -614.5 meV per atom
* crystal system: tetragonal
* polymorph energy (0 for the lowest one): 0 meV/atom
* magnetization: 0.00 μB per atom
* SG: P4/mmm
* final energy: -3.000 eV/atom

Geometry as POSCAR:
```
SrSnTeI2
1.0
5.950 0.000 0.000
0.000 5.950 0.000
0.000 0.000 6.117
Sr Sn Te I
1 1 1 2
direct
0.000 0.000 0.000 Sr
0.500 0.500 0.500 Sn
0.500 0.500 0.000 Te
0.000 0.500 0.500 I
0.500 0.000 0.500 I
```

***

The following is a PBE calculation of a relaxed SrSn2WI crystal, from the Alexandria database.

* energy relative to the elements, uncorrected: 163.0 meV per atom
* crystal system: tetragonal
* magnetization: 0.21 μB per atom
* SG: P4/mmm
* final energy: -4.675 eV/atom

Geometry as POSCAR:
```
SrSn2WI
1.0
5.245 0.000 0.000
0.000 5.245 0.000
0.000 0.000 6.397
Sr Sn W I
1 2 1 1
direct
0.000 0.000 0.000 Sr
0.000 0.500 0.500 Sn
0.500 0.000 0.500 Sn
0.000 0.000 0.500 W
0.500 0.500 0.000 I
```

***

no.,volume (Å³ per atom)
1,43.3
2,35.2